LaDy3Er3 | the Alexandria database | PBE | relaxed; total magnetization = 0.03 μB per cell; ΔE_f = 0.251 eV/atom; E_tot = -4.381 eV per atom; distance to the lowest polymorph of the same formula = 0.119 eV per atom
1.0
6.303 0.017 0.023
-1.424 6.140 0.023
-1.424 -1.796 5.872
La Dy Er
1 3 3
Direct
0.107 0.107 0.107 La
0.521 0.521 0.165 Dy
0.521 0.165 0.521 Dy
0.165 0.521 0.521 Dy
0.561 0.963 0.963 Er
0.963 0.963 0.561 Er
0.963 0.561 0.963 Er

LaDy6Er5 | the Alexandria database | PBE | relaxed; total magnetization = 0.00 μB per cell; ΔE_f = 0.023 eV/atom; E_tot = -4.590 eV per atom
1.0
-2.730 -5.079 -2.111
2.333 -2.950 -4.850
5.626 -8.135 6.364
Er Dy La
5 6 1
Direct
0.167 0.666 0.500 Er
0.333 0.333 0.000 Er
0.500 0.000 0.500 Er
0.667 0.667 0.000 Er
0.833 0.334 0.500 Er
0.581 0.335 0.253 Dy
0.084 0.335 0.747 Dy
0.749 0.000 0.747 Dy
0.251 0.000 0.253 Dy
0.916 0.665 0.253 Dy
0.419 0.665 0.747 Dy
0.000 0.000 0.000 La

La8Dy3Er | the Alexandria database | PBE | relaxed; total magnetization = 0.00 μB per cell; ΔE_f = 0.315 eV/atom; E_tot = -4.500 eV per atom
1.0
-4.120 -0.661 -7.742
5.660 -5.125 4.364
-6.748 -0.958 5.559
La Dy Er
8 3 1
Direct
0.504 0.279 0.225 La
0.496 0.721 0.775 La
0.946 0.721 0.225 La
0.054 0.279 0.775 La
0.163 0.249 0.412 La
0.837 0.249 0.087 La
0.163 0.751 0.913 La
0.837 0.751 0.588 La
0.500 0.731 0.231 Dy
0.500 0.269 0.769 Dy
0.000 0.500 0.500 Dy
0.000 0.000 0.000 Er